Entry from Alexandria: a relaxed MnAg2PtW crystal (GGA-PBE).

## Properties
Total DFT energy (no corrections) ... -24.41 eV per cell

Cell: 4.6476 4.6476 4.4199 Å, 90.00 90.00 90.00°
Space group P4/mmm (No. 123)
Asymmetric unit:
Mn 0.0000 0.0000 0.0000
Ag 0.0000 0.5000 0.0000
Pt 0.0000 0.0000 0.5000
W 0.5000 0.5000 0.5000